PBE-GGA Nd2SmBr, relaxed; E_form (uncorrected) = -0.5599 eV/atom; energy above the lowest structure with this stoichiometry = 0 kJ/mol of formula units; theoretical density = 6.72 g cm⁻³; density of states at the Fermi level = 3.5 states/eV/cell; M_tot = 0.000 μB per atom
1.0
-3.136 -1.864 -0.819
0.177 -3.578 -1.070
-1.806 -4.876 9.473
Sm Br Nd
1 1 2
direct
0.500 0.500 0.500
0.000 0.000 0.000
0.742 0.742 0.774
0.258 0.258 0.226